--- w ---
This record from the Alexandria database describes a relaxed structure of CeAl2Ag. The functional is PBE.

```
data_CeAl2Ag
_cell_length_a 2.9948
_cell_length_b 2.9948
_cell_length_c 29.9701
_cell_angle_alpha 90.00
_cell_angle_beta 90.00
_cell_angle_gamma 120.00
_symmetry_space_group_name_H-M 'R -3 m'
_symmetry_Int_Tables_number 166
_symmetry_space_group_name_Hall '-R 3 2"'
loop_
_atom_site_label
_atom_site_fract_x
_atom_site_fract_y
_atom_site_fract_z
Ce1 0.0000 0.0000 0.0000
Al1 0.0000 0.0000 0.2422
Ag1 0.0000 0.0000 0.5000
```

Calculated values
The density of states at the Fermi level comes out at 0.805 states/eV/atom. As for the total magnetization: 0.001 Bohr magnetons per cell. The calculation puts the density at 6.462 g/cm³.

=====

--- x ---
This record from the Alexandria database describes a relaxed structure of CeAl2Ag. The functional is PBE.

```
data_CeAl2Ag
_cell_length_a 4.6802
_cell_length_b 10.4867
_cell_length_c 6.8170
_cell_angle_alpha 90.00
_cell_angle_beta 90.00
_cell_angle_gamma 90.00
_symmetry_space_group_name_H-M 'C m c m'
_symmetry_Int_Tables_number 63
_symmetry_space_group_name_Hall '-C 2c 2'
loop_
_atom_site_label
_atom_site_fract_x
_atom_site_fract_y
_atom_site_fract_z
Ce1 0.0000 0.0935 0.2500
Al1 0.0000 0.3796 0.0543
Ag1 0.0000 0.2026 0.7500
```

Calculated values
The density of states at the Fermi level comes out at 1.604 states/eV/atom. As for the total magnetization: 3.665 Bohr magnetons per cell. The calculation puts the density at 5.994 g/cm³.

=====

If we sort the structures by their calculated energies, the order from most to least stable is x, w.

=====

--- w ---
This record from the Alexandria database describes a relaxed structure of CeAl2Ag. The functional is PBE.

```
data_CeAl2Ag
_cell_length_a 4.3935
_cell_length_b 4.3935
_cell_length_c 4.4220
_cell_angle_alpha 90.00
_cell_angle_beta 90.00
_cell_angle_gamma 90.00
_symmetry_space_group_name_H-M 'P 4/m m m'
_symmetry_Int_Tables_number 123
_symmetry_space_group_name_Hall '-P 4 2'
loop_
_atom_site_label
_atom_site_fract_x
_atom_site_fract_y
_atom_site_fract_z
Ce1 0.0000 0.0000 0.0000
Al1 0.0000 0.5000 0.5000
Ag1 0.5000 0.5000 0.0000
```

Calculated values
The density of states at the Fermi level comes out at 1.617 states/eV/atom. As for the total magnetization: 0.836 Bohr magnetons per cell. The calculation puts the density at 5.874 g/cm³.

=====

--- x ---
This record from the Alexandria database describes a relaxed structure of CeAl2Ag. The functional is PBE.

```
data_CeAl2Ag
_cell_length_a 5.7779
_cell_length_b 5.7066
_cell_length_c 11.3203
_cell_angle_alpha 90.00
_cell_angle_beta 90.00
_cell_angle_gamma 90.00
_symmetry_space_group_name_H-M 'P m m a'
_symmetry_Int_Tables_number 51
loop_
_symmetry_equiv_pos_as_xyz
'x,y,z'
'-x,-y,-z'
'-x+1/2,-y,z'
'x+1/2,y,-z'
'x+1/2,-y,-z'
'-x+1/2,y,z'
'-x,y,-z'
'x,-y,z'
loop_
_atom_site_label
_atom_site_fract_x
_atom_site_fract_y
_atom_site_fract_z
Ce1 0.2500 0.0000 0.0837
Ce2 0.2500 0.5000 0.6266
Al1 0.0000 0.0000 0.5000
Al2 0.0000 0.5000 0.0000
Al3 0.2500 0.2561 0.3619
Ag1 0.2500 0.0000 0.7743
Ag2 0.2500 0.5000 0.1818
```

Calculated values
The density of states at the Fermi level comes out at 1.708 states/eV/atom. As for the total magnetization: 3.791 Bohr magnetons per cell. The calculation puts the density at 5.373 g/cm³.

=====

If we sort the structures by their calculated energies, the order from most to least stable is w, x.

=====

--- w ---
This record from the Alexandria database describes a relaxed structure of CeAl2Ag. The functional is PBE.

```
data_CeAl2Ag
_cell_length_a 3.0864
_cell_length_b 3.0864
_cell_length_c 8.2087
_cell_angle_alpha 90.00
_cell_angle_beta 90.00
_cell_angle_gamma 90.00
_symmetry_space_group_name_H-M 'P 4/m m m'
_symmetry_Int_Tables_number 123
_symmetry_space_group_name_Hall '-P 4 2'
loop_
_atom_site_label
_atom_site_fract_x
_atom_site_fract_y
_atom_site_fract_z
Ce1 0.0000 0.0000 0.0000
Al1 0.5000 0.5000 0.2852
Ag1 0.0000 0.0000 0.5000
```

Calculated values
The density of states at the Fermi level comes out at 1.108 states/eV/atom. As for the total magnetization: 0.013 Bohr magnetons per cell. The calculation puts the density at 6.412 g/cm³.

=====

--- x ---
This record from the Alexandria database describes a relaxed structure of CeAl2Ag. The functional is PBE.

```
data_CeAl2Ag
_cell_length_a 6.9002
_cell_length_b 6.9002
_cell_length_c 6.9002
_cell_angle_alpha 90.00
_cell_angle_beta 90.00
_cell_angle_gamma 90.00
_symmetry_space_group_name_H-M 'F m -3 m'
_symmetry_Int_Tables_number 225
_symmetry_space_group_name_Hall '-F 4 2 3'
loop_
_atom_site_label
_atom_site_fract_x
_atom_site_fract_y
_atom_site_fract_z
Ce1 0.0000 0.0000 0.0000
Al1 0.2500 0.2500 0.2500
Ag1 0.0000 0.0000 0.5000
```

Calculated values
The density of states at the Fermi level comes out at 1.315 states/eV/atom. As for the total magnetization: 3.423 Bohr magnetons per cell. The calculation puts the density at 6.105 g/cm³.

=====

If we sort the structures by their calculated energies, the order from most to least stable is w, x.

=====

--- w ---
This record from the Alexandria database describes a relaxed structure of CeAlAg4. The functional is PBE.

```
data_CeAlAg4
_cell_length_a 7.9141
_cell_length_b 7.9141
_cell_length_c 7.9141
_cell_angle_alpha 90.00
_cell_angle_beta 90.00
_cell_angle_gamma 90.00
_symmetry_space_group_name_H-M 'F -4 3 m'
_symmetry_Int_Tables_number 216
_symmetry_space_group_name_Hall 'F -4 2 3'
loop_
_atom_site_label
_atom_site_fract_x
_atom_site_fract_y
_atom_site_fract_z
Ce1 0.0000 0.0000 0.0000
Al1 0.2500 0.2500 0.2500
Ag1 0.1245 0.1245 0.6245
```

Calculated values
The density of states at the Fermi level comes out at 1.304 states/eV/atom. As for the total magnetization: 3.786 Bohr magnetons per cell. The calculation puts the density at 8.021 g/cm³.

=====

--- x ---
This record from the Alexandria database describes a relaxed structure of CeAlAg4. The functional is PBE.

```
data_CeAlAg4
_cell_length_a 5.0482
_cell_length_b 14.0615
_cell_length_c 7.2892
_cell_angle_alpha 90.00
_cell_angle_beta 90.00
_cell_angle_gamma 90.00
_symmetry_space_group_name_H-M 'C m c m'
_symmetry_Int_Tables_number 63
_symmetry_space_group_name_Hall '-C 2c 2'
loop_
_atom_site_label
_atom_site_fract_x
_atom_site_fract_y
_atom_site_fract_z
Ce1 0.0000 0.1157 0.2500
Al1 0.0000 0.3609 0.2500
Ag1 0.0000 0.0983 0.7500
Ag2 0.0000 0.2829 0.5643
Ag3 0.0000 0.5000 0.0000
```

Calculated values
The density of states at the Fermi level comes out at 1.604 states/eV/atom. As for the total magnetization: 4.358 Bohr magnetons per cell. The calculation puts the density at 7.684 g/cm³.

=====

If we sort the structures by their calculated energies, the order from most to least stable is w, x.

=====

--- w ---
This record from the Alexandria database describes a relaxed structure of CeAl4Ag. The functional is PBE.

```
data_CeAl4Ag
_cell_length_a 4.6262
_cell_length_b 5.1542
_cell_length_c 10.2420
_cell_angle_alpha 104.42
_cell_angle_beta 102.91
_cell_angle_gamma 90.53
_symmetry_space_group_name_H-M 'P -1'
_symmetry_Int_Tables_number 2
loop_
_symmetry_equiv_pos_as_xyz
'x,y,z'
'-x,-y,-z'
loop_
_atom_site_label
_atom_site_fract_x
_atom_site_fract_y
_atom_site_fract_z
Ce1 0.2462 0.2038 0.0004
Al1 0.0796 0.0052 0.6607
Al2 0.1465 0.5627 0.7904
Al3 0.3560 0.7736 0.2095
Al4 0.4193 0.3472 0.3402
Ag1 0.0000 0.5000 0.5000
Ag2 0.5000 0.0000 0.5000
```

Calculated values
The density of states at the Fermi level comes out at 0.967 states/eV/atom. As for the total magnetization: 1.310 Bohr magnetons per cell. The calculation puts the density at 5.139 g/cm³.

=====

--- x ---
This record from the Alexandria database describes a relaxed structure of CeAl4Ag. The functional is PBE.

```
data_CeAl4Ag
_cell_length_a 7.8117
_cell_length_b 7.8117
_cell_length_c 7.8117
_cell_angle_alpha 90.00
_cell_angle_beta 90.00
_cell_angle_gamma 90.00
_symmetry_space_group_name_H-M 'F -4 3 m'
_symmetry_Int_Tables_number 216
_symmetry_space_group_name_Hall 'F -4 2 3'
loop_
_atom_site_label
_atom_site_fract_x
_atom_site_fract_y
_atom_site_fract_z
Ce1 0.0000 0.0000 0.0000
Al1 0.1261 0.1261 0.6261
Ag1 0.2500 0.2500 0.2500
```

Calculated values
The density of states at the Fermi level comes out at 1.191 states/eV/atom. As for the total magnetization: 3.275 Bohr magnetons per cell. The calculation puts the density at 4.959 g/cm³.

=====

--- y ---
This record from the Alexandria database describes a relaxed structure of CeAl4Ag. The functional is PBE.

```
data_CeAl4Ag
_cell_length_a 10.2434
_cell_length_b 6.9877
_cell_length_c 7.1717
_cell_angle_alpha 90.00
_cell_angle_beta 110.32
_cell_angle_gamma 90.00
_symmetry_space_group_name_H-M 'C 1 2/m 1'
_symmetry_Int_Tables_number 12
loop_
_symmetry_equiv_pos_as_xyz
'x,y,z'
'-x,-y,-z'
'-x,y,-z'
'x,-y,z'
'x+1/2,y+1/2,z'
'-x+1/2,-y+1/2,-z'
'-x+1/2,y+1/2,-z'
'x+1/2,-y+1/2,z'
loop_
_atom_site_label
_atom_site_fract_x
_atom_site_fract_y
_atom_site_fract_z
Ce1 0.1597 0.0000 0.2785
Al1 0.0000 0.2822 0.5000
Al2 0.1141 0.3056 0.9398
Al3 0.1600 0.0000 0.7540
Ag1 0.1065 0.5000 0.2938
```

Calculated values
The density of states at the Fermi level comes out at 1.219 states/eV/atom. As for the total magnetization: 3.411 Bohr magnetons per cell. The calculation puts the density at 4.911 g/cm³.

=====

If we sort the structures by their calculated energies, the order from most to least stable is y, w, x.